DFT (GGA-PBE) results for Cs2GeAuSe4 after structural relaxation.

The structure in extended XYZ format:
```
16
Lattice="0.000 7.418 11.639 3.403 0.000 11.639 3.403 7.418 0.000" Properties=species:S:1:pos:R:3 pbc="T T T"
Cs 2.552 5.563 1.239
Cs 4.253 9.272 7.058
Cs 2.552 5.563 16.219
Cs 4.253 9.272 22.039
Ge 2.552 5.563 8.729
Ge 4.253 9.272 14.548
Au 0.851 1.854 2.910
Au 5.955 12.981 20.368
Se 4.068 4.168 7.507
Se 4.068 6.959 9.951
Se 5.769 7.877 15.770
Se 5.769 10.668 13.326
Se 1.036 4.168 9.951
Se 1.036 6.959 7.507
Se 2.738 7.877 13.326
Se 2.738 10.668 15.770
```

Calculated values
**Size of the total moment**: 0.00 μB per atom
**Crystal system**: orthorhombic
**SG**: Fddd (70)
**Energy relative to the elements, uncorrected**: -0.6267 eV/atom

=====

DFT (GGA-PBE) results for ZrPb2Br after structural relaxation.

The structure in extended XYZ format:
```
4
Lattice="-2.188 2.188 5.843 2.188 -2.188 5.843 2.188 2.188 -5.843" Properties=species:S:1:pos:R:3 pbc="T T T"
Zr 0.000 0.000 0.000
Pb 0.000 0.000 5.843
Pb 0.000 2.188 2.922
Br 2.188 0.000 2.922
```

Calculated values
**Size of the total moment**: 0.01 μB per atom
**Crystal system**: tetragonal
**Energy relative to the lowest polymorph listed for this composition**: 485 meV/atom
**SG**: I-4m2 (119)
**Energy relative to the elements, uncorrected**: 0.1426 eV/atom

=====

DFT (GGA-PBE) results for HfCu3Si after structural relaxation.

The structure in extended XYZ format:
```
5
Lattice="4.837 0.000 0.000 0.000 4.837 0.000 0.000 0.000 4.837" Properties=species:S:1:pos:R:3 pbc="T T T"
Hf 0.000 0.000 0.000
Cu 0.000 0.000 2.418
Cu 0.000 2.418 0.000
Cu 2.418 0.000 0.000
Si 2.418 2.418 2.418
```

Calculated values
**Size of the total moment**: 0.00 μB per atom
**Crystal system**: cubic
**Energy relative to the lowest polymorph listed for this composition**: 1202 meV/atom
**SG**: Pm-3m (221)
**Energy relative to the elements, uncorrected**: 1.5353 eV/atom

=====

DFT (GGA-PBE) results for Rb2IrO6 after structural relaxation.

The structure in extended XYZ format:
```
9
Lattice="5.775 -3.505 0.000 5.775 3.505 0.000 -0.486 0.000 3.539" Properties=species:S:1:pos:R:3 pbc="T T T"
Rb 1.966 0.000 1.577
Rb 9.097 0.000 1.962
Ir 5.775 0.000 0.000
O 4.371 1.327 0.330
O 5.532 1.257 1.770
O 6.692 1.327 3.209
O 4.371 -1.327 0.330
O 5.532 -1.257 1.770
O 6.692 -1.327 3.209
```

Calculated values
**Size of the total moment**: 0.11 μB per atom
**Crystal system**: monoclinic
**SG**: C2/m (12)
**Energy relative to the elements, uncorrected**: -0.4708 eV/atom

=====

DFT (GGA-PBE) results for CePuPa2P4 after structural relaxation.

The structure in extended XYZ format:
```
8
Lattice="6.935 0.000 0.000 0.000 4.003 0.000 -2.315 0.000 6.540" Properties=species:S:1:pos:R:3 pbc="T T T"
Ce 0.000 0.000 0.000
Pu 3.467 2.001 0.000
Pa -1.157 2.001 3.270
Pa 2.310 0.000 3.270
P 0.015 0.000 4.873
P 1.169 2.001 1.684
P 3.451 2.001 4.857
P 4.605 0.000 1.667
```

Calculated values
**Size of the total moment**: 0.65 μB per atom
**Crystal system**: monoclinic
**SG**: P2/m (10)
**Energy of formation from the pure elements**: -1.339 eV per atom

=====

DFT (GGA-PBE) results for CaSiSn2 after structural relaxation.

The structure in extended XYZ format:
```
8
Lattice="-4.038 4.038 3.259 4.038 -4.038 3.259 4.038 4.038 -3.259" Properties=species:S:1:pos:R:3 pbc="T T T"
Ca 0.000 0.000 0.000
Ca 0.000 4.038 1.629
Si 4.038 0.000 1.629
Si 0.000 0.000 3.259
Sn 2.019 -1.589 2.444
Sn 2.449 2.019 0.815
Sn 2.019 5.627 -0.815
Sn 1.589 2.019 4.073
```

Calculated values
**Size of the total moment**: 0.00 μB per atom
**Crystal system**: tetragonal
**SG**: I-42d (122)
**Energy relative to the elements, uncorrected**: -0.1847 eV/atom

=====

DFT (GGA-PBE) results for AlPPt2 after structural relaxation.

The structure in extended XYZ format:
```
4
Lattice="2.956 0.000 0.000 0.000 3.194 0.000 -0.003 0.000 6.329" Properties=species:S:1:pos:R:3 pbc="T T T"
Al 0.000 0.000 0.000
P -0.002 0.000 3.165
Pt 1.463 1.597 4.825
Pt 1.489 1.597 1.504
```

Calculated values
**Size of the total moment**: 0.00 μB per atom
**Crystal system**: monoclinic
**Energy relative to the lowest polymorph listed for this composition**: 171 meV/atom
**SG**: P2/m (10)
**Energy of formation from the pure elements**: -0.418 eV per atom

=====

DFT (GGA-PBE) results for TbThGe2Rh5 after structural relaxation.

The structure in extended XYZ format:
```
9
Lattice="4.204 0.000 0.000 0.000 4.204 0.000 0.000 0.000 9.089" Properties=species:S:1:pos:R:3 pbc="T T T"
Tb 0.000 0.000 0.000
Th 0.000 0.000 4.545
Ge 2.102 2.102 1.264
Ge 2.102 2.102 7.825
Rh 0.000 2.102 2.438
Rh 0.000 2.102 6.651
Rh 2.102 0.000 2.438
Rh 2.102 0.000 6.651
Rh 2.102 2.102 4.545
```

Calculated values
**Size of the total moment**: 0.00 μB per atom
**Crystal system**: tetragonal
**SG**: P4/mmm (123)
**Energy of formation from the pure elements**: -0.850 eV per atom